(1)
The following is a GGA-PBE calculation of crystalline Sn2Bi2Au5 at its relaxed geometry, from the Alexandria database.

Cell: 11.5563 5.1933 7.9606 Å, 90.00 105.74 90.00°
Closest atoms and distances in Å follow each position.
Space group C2/m (No. 12)
Symmetry-distinct sites (fractional):
Sn 0.1740 0.0000 0.3818 [4 per cell]  5 Au 2.81-3.02
Bi 0.0945 0.5000 0.8637 [4 per cell]  6 Au 2.92-3.12
Au 0.0000 0.0000 0.0000 [2 per cell]  2 Au 2.94, 4 Bi 3.12, 2 Sn 3.16
Au 0.0771 0.0000 0.6765 [4 per cell]  3 Au 2.80-2.94, 2 Sn 2.81-2.86, 2 Bi 2.97
Au 0.1716 0.5000 0.2446 [4 per cell]  1 Au 2.80, 3 Sn 2.81-3.02, 2 Bi 2.92-2.96

Properties
ΔE_f: -0.7 kJ/mol of atoms


(2)
The following is a GGA-PBE calculation of crystalline Sn2BiAu2 at its relaxed geometry, from the Alexandria database.

Cell: 4.6848 3.4141 8.1042 Å, 90.00 106.65 90.00°
Closest atoms and distances in Å follow each position.
Space group P2/m (No. 10)
Symmetry-distinct sites (fractional):
Sn 0.1405 0.0000 0.2721 [2 per cell]  6 Au 3.04-3.11
Bi 0.5000 0.5000 0.0000 [1 per cell]  2 Au 3.05, 2 Bi 3.41
Au 0.3020 0.5000 0.6070 [2 per cell]  2 Au 2.86-2.88, 6 Sn 3.04-3.11, 1 Bi 3.05

Properties
ΔE_f: -3.6 kJ/mol of atoms


(3)
The following is a GGA-PBE calculation of crystalline Sn5Bi3Au12 at its relaxed geometry, from the Alexandria database.

Cell: 16.3437 16.3437 16.3437 Å, 90.00 90.00 90.00°
Closest atoms and distances in Å follow each position.
Space group Ia-3d (No. 230)
Symmetry-distinct sites (fractional):
Sn 0.0000 0.0000 0.0000 [16 per cell]  6 Au 2.78
Sn 0.0000 0.2500 0.3750 [24 per cell]  4 Au 2.71
Bi 0.0000 0.2500 0.1250 [24 per cell]  8 Au 2.92-3.01
Au 0.0128 0.0738 0.6530 [96 per cell]  2 Sn 2.71-2.78, 2 Bi 2.92-3.01

Properties
ΔE_f: 8.8 kJ/mol of atoms


(4)
The following is a GGA-PBE calculation of crystalline Sn3BiAu at its relaxed geometry, from the Alexandria database.

Cell: 5.8905 5.8905 5.8905 Å, 90.00 90.00 90.00°
Closest atoms and distances in Å follow each position.
Space group Pm-3m (No. 221)
Symmetry-distinct sites (fractional):
Sn 0.0000 0.0000 0.5000 [3 per cell]  2 Bi 2.95
Bi 0.0000 0.0000 0.0000 [1 per cell]  6 Sn 2.95
Au 0.5000 0.5000 0.5000 [1 per cell]  12 Sn 4.17

Properties
ΔE_f: 90.3 kJ/mol of atoms


(5)
The following is a GGA-PBE calculation of crystalline Sn3Bi3Au8 at its relaxed geometry, from the Alexandria database.

Cell: 16.5054 4.9600 9.6294 Å, 90.00 118.78 90.00°
Closest atoms and distances in Å follow each position.
Space group C2/m (No. 12)
Symmetry-distinct sites (fractional):
Sn 0.0000 0.0000 0.0000 [2 per cell]  8 Au 2.86-3.04
Sn 0.1771 0.5000 0.5223 [4 per cell]  5 Au 2.79-2.88
Bi 0.0000 0.0000 0.5000 [2 per cell]  8 Au 3.03-3.15
Bi 0.1817 0.5000 0.0553 [4 per cell]  5 Au 2.93-3.00
Au 0.0530 0.5000 0.1860 [4 per cell]  3 Sn 2.88-2.94, 4 Au 2.90-3.14, 1 Bi 2.95
Au 0.0842 0.5000 0.6996 [4 per cell]  1 Sn 2.79, 3 Au 2.87-2.96, 3 Bi 3.00-3.03
Au 0.1238 0.0000 0.8707 [4 per cell]  1 Sn 2.86, 2 Au 2.87, 4 Bi 2.93-3.15
Au 0.1291 0.0000 0.3560 [4 per cell]  4 Sn 2.83-3.04, 2 Au 2.90, 1 Bi 3.05

Properties
ΔE_f: -5.6 kJ/mol of atoms


(6)
The following is a GGA-PBE calculation of crystalline SnBi2Au3 at its relaxed geometry, from the Alexandria database.

Cell: 13.6675 7.9174 5.6504 Å, 90.00 90.00 90.00°
Closest atoms and distances in Å follow each position.
Space group Cmcm (No. 63)
Symmetry-distinct sites (fractional):
Sn 0.0000 0.1794 0.2500 [4 per cell]  6 Au 2.89-2.90
Bi 0.1715 0.3347 0.7500 [8 per cell]  6 Au 3.01-3.09
Au 0.0000 0.5000 0.0000 [4 per cell]  2 Au 2.83, 2 Sn 2.90, 4 Bi 3.03
Au 0.1521 0.0000 0.0000 [8 per cell]  2 Au 2.83, 2 Sn 2.89, 4 Bi 3.01-3.09

Properties
ΔE_f: -10.2 kJ/mol of atoms


(7)
The following is a GGA-PBE calculation of crystalline SnBiAu6 at its relaxed geometry, from the Alexandria database.

Cell: 4.5513 6.2694 5.8481 Å, 90.00 90.00 90.00°
Closest atoms and distances in Å follow each position.
Space group Pmm2 (No. 25)
Symmetry-distinct sites (fractional):
Sn 0.0000 0.0000 0.0000 [1 per cell]  10 Au 2.98-3.20
Bi 0.5000 0.5000 0.7501 [1 per cell]  10 Au 3.06-3.18
Au 0.0000 0.2494 0.5280 [2 per cell]  7 Au 2.86-3.14, 2 Bi 3.06, 1 Sn 3.17
Au 0.0000 0.5000 0.1083 [1 per cell]  6 Au 2.88-2.91, 2 Bi 3.09, 2 Sn 3.20
Au 0.5000 0.0000 0.6571 [1 per cell]  6 Au 2.86-3.00, 2 Sn 3.03, 2 Bi 3.18
Au 0.5000 0.2362 0.2102 [2 per cell]  6 Au 2.88-3.00, 2 Sn 2.98, 1 Bi 3.16

Properties
ΔE_f: -2.9 kJ/mol of atoms


(8)
The following is a GGA-PBE calculation of crystalline Sn3BiAu6 at its relaxed geometry, from the Alexandria database.

Cell: 8.1714 12.1685 9.3559 Å, 90.00 90.00 90.00°
Closest atoms and distances in Å follow each position.
Space group Cmc2_1 (No. 36)
Symmetry-distinct sites (fractional):
Sn 0.0000 0.0645 0.0000 [4 per cell]  7 Au 2.78-2.99
Sn 0.2204 0.3720 0.0650 [8 per cell]  6 Au 2.82-3.09
Bi 0.0000 0.3469 0.6732 [4 per cell]  4 Au 2.94-3.05
Au 0.0000 0.2314 0.2074 [4 per cell]  4 Au 2.79-2.86, 3 Sn 2.81-2.82
Au 0.0000 0.4881 0.4180 [4 per cell]  2 Sn 2.83, 2 Bi 2.94-3.05, 4 Au 2.95-2.96
Au 0.1888 0.0392 0.2712 [8 per cell]  4 Au 2.86-3.09, 4 Sn 2.90-3.05, 1 Bi 3.04
Au 0.2456 0.3125 0.3851 [8 per cell]  3 Sn 2.78-3.09, 3 Au 2.79-3.01

Properties
ΔE_f: -4.5 kJ/mol of atoms


> Which value of ΔE_f does entry 1 give?

-0.7 kJ/mol of atoms


> Look up the ΔE_f of the fourth one.

90.3 kJ/mol of atoms


> Which value of ΔE_f does entry 1 give?

-0.7 kJ/mol of atoms